(1)
{
  "formula": "Ca2HPd",
  "functional": "PBEsol",
  "state": "relaxed",
  "cell": [[-3.334, 3.334, 3.611], [3.334, -3.334, 3.611], [3.334, 3.334, -3.611]],
  "species": ["Ca", "Ca", "Ca", "Ca", "H", "H", "Pd", "Pd"],
  "fractional_positions": [[0.055, 0.125, 0.430], [0.375, 0.945, 0.070], [0.695, 0.625, 0.570], [0.875, 0.305, 0.930], [0.000, 0.000, 0.000], [0.750, 0.250, 0.500], [0.250, 0.750, 0.500], [0.500, 0.500, 0.000]],
  "spacegroup": "I-42d (122)",
  "volume_a3_per_atom": 20.07,
  "dft_energy_ev_per_atom": -3.74
}



(2)
{
  "formula": "BaMn2N4",
  "functional": "PBEsol",
  "state": "relaxed",
  "cell": [[10.553, 0.000, 0.000], [0.000, 10.553, 0.000], [0.000, 0.000, 10.553]],
  "species": ["Ba", "Ba", "Ba", "Ba", "Ba", "Ba", "Ba", "Ba", "Ba", "Ba", "Ba", "Ba", "Mn", "Mn", "Mn", "Mn", "Mn", "Mn", "Mn", "Mn", "Mn", "Mn", "Mn", "Mn", "Mn", "Mn", "Mn", "Mn", "Mn", "Mn", "Mn", "Mn", "Mn", "Mn", "Mn", "Mn", "N", "N", "N", "N", "N", "N", "N", "N", "N", "N", "N", "N", "N", "N", "N", "N", "N", "N", "N", "N", "N", "N", "N", "N", "N", "N", "N", "N", "N", "N", "N", "N", "N", "N", "N", "N", "N", "N", "N", "N", "N", "N", "N", "N", "N", "N", "N", "N"],
  "fractional_positions": [[0.000, 0.000, 0.000], [0.000, 0.500, 0.500], [0.125, 0.625, 0.875], [0.125, 0.875, 0.375], [0.375, 0.125, 0.875], [0.375, 0.375, 0.375], [0.500, 0.000, 0.500], [0.500, 0.500, 0.000], [0.625, 0.625, 0.625], [0.625, 0.875, 0.125], [0.875, 0.125, 0.625], [0.875, 0.375, 0.125], [0.114, 0.194, 0.347], [0.114, 0.306, 0.847], [0.153, 0.614, 0.194], [0.153, 0.886, 0.694], [0.194, 0.153, 0.614], [0.194, 0.347, 0.114], [0.306, 0.653, 0.614], [0.306, 0.847, 0.114], [0.347, 0.114, 0.194], [0.347, 0.386, 0.694], [0.386, 0.694, 0.347], [0.386, 0.806, 0.847], [0.614, 0.194, 0.153], [0.614, 0.306, 0.653], [0.653, 0.614, 0.306], [0.653, 0.886, 0.806], [0.694, 0.153, 0.886], [0.694, 0.347, 0.386], [0.806, 0.653, 0.886], [0.806, 0.847, 0.386], [0.847, 0.114, 0.306], [0.847, 0.386, 0.806], [0.886, 0.694, 0.153], [0.886, 0.806, 0.653], [0.004, 0.088, 0.272], [0.004, 0.412, 0.772], [0.088, 0.228, 0.504], [0.088, 0.272, 0.004], [0.126, 0.168, 0.761], [0.126, 0.332, 0.261], [0.168, 0.739, 0.626], [0.168, 0.761, 0.126], [0.228, 0.504, 0.088], [0.228, 0.996, 0.588], [0.239, 0.626, 0.332], [0.239, 0.874, 0.832], [0.261, 0.126, 0.332], [0.261, 0.374, 0.832], [0.272, 0.004, 0.088], [0.272, 0.496, 0.588], [0.332, 0.239, 0.626], [0.332, 0.261, 0.126], [0.374, 0.668, 0.761], [0.374, 0.832, 0.261], [0.412, 0.728, 0.504], [0.412, 0.772, 0.004], [0.496, 0.588, 0.272], [0.496, 0.912, 0.772], [0.504, 0.088, 0.228], [0.504, 0.412, 0.728], [0.588, 0.228, 0.996], [0.588, 0.272, 0.496], [0.626, 0.168, 0.739], [0.626, 0.332, 0.239], [0.668, 0.739, 0.874], [0.668, 0.761, 0.374], [0.728, 0.504, 0.412], [0.728, 0.996, 0.912], [0.739, 0.626, 0.168], [0.739, 0.874, 0.668], [0.761, 0.126, 0.168], [0.761, 0.374, 0.668], [0.772, 0.004, 0.412], [0.772, 0.496, 0.912], [0.832, 0.239, 0.874], [0.832, 0.261, 0.374], [0.874, 0.668, 0.739], [0.874, 0.832, 0.239], [0.912, 0.728, 0.996], [0.912, 0.772, 0.496], [0.996, 0.588, 0.228], [0.996, 0.912, 0.728]],
  "spacegroup": "Pa-3 (205)",
  "volume_a3_per_atom": 13.99,
  "dft_energy_ev_per_atom": -8.48
}



(3)
{
  "formula": "Co5Tc",
  "functional": "PBEsol",
  "state": "relaxed",
  "cell": [[3.977, 0.000, 0.000], [0.000, 1.256, 6.477], [0.000, -1.256, 6.477]],
  "species": ["Co", "Co", "Co", "Co", "Co", "Tc"],
  "fractional_positions": [[0.000, 0.000, 0.000], [0.000, 0.326, 0.326], [0.000, 0.664, 0.664], [0.500, 0.215, 0.215], [0.500, 0.556, 0.556], [0.500, 0.886, 0.886]],
  "spacegroup": "Amm2 (38)",
  "e_above_lowest_polymorph_mev_per_atom": 18,
  "volume_a3_per_atom": 10.78,
  "formation_energy_ev_per_atom": 0.04
}



(4)
{
  "formula": "Mg2TcNi",
  "functional": "PBEsol",
  "state": "relaxed",
  "cell": [[2.783, 0.000, 0.000], [0.000, 2.783, 0.000], [0.000, 0.000, 8.000]],
  "species": ["Mg", "Mg", "Tc", "Ni"],
  "fractional_positions": [[0.000, 0.000, 0.000], [0.500, 0.500, 0.325], [0.500, 0.500, 0.741], [0.000, 0.000, 0.551]],
  "spacegroup": "P4mm (99)",
  "e_above_lowest_polymorph_mev_per_atom": 0,
  "volume_a3_per_atom": 15.49,
  "formation_energy_ev_per_atom": 0.09
}



Please write out number 4 again, unchanged.
{
  "formula": "Mg2TcNi",
  "functional": "PBEsol",
  "state": "relaxed",
  "cell": [[2.783, 0.000, 0.000], [0.000, 2.783, 0.000], [0.000, 0.000, 8.000]],
  "species": ["Mg", "Mg", "Tc", "Ni"],
  "fractional_positions": [[0.000, 0.000, 0.000], [0.500, 0.500, 0.325], [0.500, 0.500, 0.741], [0.000, 0.000, 0.551]],
  "spacegroup": "P4mm (99)",
  "e_above_lowest_polymorph_mev_per_atom": 0,
  "volume_a3_per_atom": 15.49,
  "formation_energy_ev_per_atom": 0.09
}